Cs3Ho3TaSe8 | PBE-GGA | optimized geometry

Cell: 8.1847 8.1877 9.7896 Å, 114.78 90.00 119.99°
Each line ends with the local moment (μB).
Atoms (fractional coordinates):
Se 0.2149 0.9627 0.6771  -0.01
Se 0.2149 0.4298 0.6772  -0.01
Se 0.7478 0.9627 0.6771  -0.01
Se 0.2522 0.0373 0.3229  -0.01
Se 0.7851 0.0373 0.3229  -0.01
Se 0.7851 0.5702 0.3228  -0.01
Se 0.2711 0.5422 0.3138  0.00
Se 0.7289 0.4578 0.6862  0.00
Ho 0.0000 0.5000 0.5000  0.03
Ho 0.5000 0.5000 0.5000  0.03
Ho 0.5000 0.0000 0.5000  0.03
Cs 0.0000 0.5000 0.0000  0.00
Cs 0.5000 0.5000 0.0000  0.00
Cs 0.0000 0.0000 0.0000  0.00
Ta 0.0000 0.0000 0.5000  0.63

Formation energy (no corrections) in eV/atom: -1.490
V in Å³/cell: 497
Energy in eV per atom: -5.225
Space-group type: No. 12



Cs4Tb3HoSe8 | PBE-GGA | optimized geometry

Cell: 8.5512 9.7260 8.5528 Å, 116.10 120.00 90.00°
Atoms (fractional coordinates):
Tb 0.5000 0.5000 0.0000
Tb 0.0000 0.5000 0.5000
Tb 0.5000 0.5000 0.5000
Se 0.2696 0.3145 0.0420
Se 0.2276 0.6855 0.9580
Se 0.7304 0.6855 0.9580
Se 0.7724 0.3145 0.5447
Se 0.2276 0.6855 0.4553
Se 0.7724 0.3145 0.0420
Se 0.2712 0.3137 0.5424
Se 0.7288 0.6863 0.4576
Cs 0.5000 0.0000 0.0000
Cs 0.0000 0.0000 0.5000
Cs 0.5000 0.0000 0.5000
Cs 0.0000 0.0000 0.0000
Ho 0.0000 0.5000 0.0000

Formation energy (no corrections) in eV/atom: -1.729
V in Å³/cell: 531
Energy in eV per atom: -4.839
Space-group type: No. 166



Cs4TbHo3Se8 | PBE-GGA | optimized geometry

Cell: 8.5173 9.7127 8.5189 Å, 116.03 119.99 90.00°
Atoms (fractional coordinates):
Ho 0.5000 0.5000 0.5000
Ho 0.5000 0.5000 0.0000
Ho 0.0000 0.5000 0.5000
Se 0.2736 0.3148 0.0439
Se 0.2297 0.6852 0.9561
Se 0.2291 0.6850 0.4582
Se 0.7703 0.3148 0.0439
Se 0.7709 0.3150 0.5418
Se 0.7284 0.6844 0.4567
Se 0.2716 0.3156 0.5433
Se 0.7264 0.6852 0.9561
Cs 0.5000 0.0000 0.5000
Cs 0.5000 0.0000 0.0000
Cs 0.0000 0.0000 0.5000
Cs 0.0000 0.0000 0.0000
Tb 0.0000 0.5000 0.0000

Formation energy (no corrections) in eV/atom: -1.726
V in Å³/cell: 526
Energy in eV per atom: -4.829
Space-group type: No. 166



Cs2TbHoSe4 | PBE-GGA | optimized geometry

Cell: 4.2681 7.3920 8.7278 Å, 106.39 90.00 90.00°
Atoms (fractional coordinates):
Se 0.5000 0.2264 0.1850
Se 0.0000 0.7304 0.1857
Se 0.0000 0.2696 0.8143
Se 0.5000 0.7736 0.8150
Tb 0.5000 0.5000 0.0000
Cs 0.0000 0.5000 0.5000
Cs 0.5000 0.0000 0.5000
Ho 0.0000 0.0000 0.0000

Formation energy (no corrections) in eV/atom: -1.727
V in Å³/cell: 264
Energy in eV per atom: -4.834
Space-group type: No. 10



Cs3HoTh3Se8 | PBE-GGA | optimized geometry

Cell: 8.5129 8.5109 9.9318 Å, 115.39 90.00 120.01°
Atoms (fractional coordinates):
Cs 0.5000 0.5000 0.0000
Cs 0.0000 0.0000 0.0000
Cs 0.0000 0.5000 0.0000
Se 0.7738 0.0393 0.3132
Se 0.7344 0.9607 0.6868
Se 0.2677 0.5355 0.3035
Se 0.7737 0.5474 0.3133
Se 0.7323 0.4645 0.6965
Se 0.2656 0.0393 0.3132
Se 0.2262 0.9607 0.6868
Se 0.2263 0.4526 0.6867
Ho 0.0000 0.0000 0.5000
Th 0.5000 0.0000 0.5000
Th 0.0000 0.5000 0.5000
Th 0.5000 0.5000 0.5000

Formation energy (no corrections) in eV/atom: -1.633
V in Å³/cell: 541
Energy in eV per atom: -5.451
Space-group type: No. 166



Cs3HoTh2Se6 | PBE-GGA | optimized geometry

Cell: 7.4203 7.4203 8.8275 Å, 98.06 98.06 119.99°
Atoms (fractional coordinates):
Cs 0.8321 0.1679 0.5000
Cs 0.1679 0.8321 0.5000
Cs 0.5000 0.5000 0.5000
Se 0.2636 0.2636 0.8079
Se 0.9363 0.6084 0.8087
Se 0.3916 0.0637 0.1913
Se 0.7364 0.7364 0.1921
Se 0.6084 0.9363 0.8087
Se 0.0637 0.3916 0.1913
Th 0.6665 0.3335 0.0000
Th 0.3335 0.6665 0.0000
Ho 0.0000 0.0000 0.0000

Formation energy (no corrections) in eV/atom: -1.581
V in Å³/cell: 404
Energy in eV per atom: -5.154
Space-group type: No. 12



CsHoTiSe4 | PBE-GGA | optimized geometry

Cell: 6.8191 7.1579 9.9376 Å, 90.00 109.06 90.00°
Atoms (fractional coordinates):
Ti 0.2342 0.7500 0.3423
Ti 0.7658 0.2500 0.6577
Se 0.9878 0.4951 0.3076
Se 0.9878 0.0049 0.3076
Se 0.5435 0.2500 0.4222
Se 0.4565 0.7500 0.5778
Se 0.0122 0.9951 0.6924
Se 0.4407 0.7500 0.1907
Se 0.5593 0.2500 0.8093
Se 0.0122 0.5049 0.6924
Cs 0.7425 0.7500 0.9428
Cs 0.2575 0.2500 0.0572
Ho 0.7906 0.7500 0.4576
Ho 0.2094 0.2500 0.5424

Formation energy (no corrections) in eV/atom: -1.446
V in Å³/cell: 458
Energy in eV per atom: -5.341
Space-group type: No. 11



Cs3Ho2TlSe6 | PBE-GGA | optimized geometry

Cell: 7.4093 7.4093 8.7379 Å, 98.10 98.10 120.01°
Atoms (fractional coordinates):
Se 0.4009 0.0621 0.1864
Se 0.7232 0.7232 0.1855
Se 0.9379 0.5991 0.8136
Se 0.2768 0.2768 0.8145
Se 0.0621 0.4009 0.1864
Se 0.5991 0.9379 0.8136
Ho 0.3330 0.6670 0.0000
Ho 0.6670 0.3330 0.0000
Cs 0.1648 0.8352 0.5000
Cs 0.5000 0.5000 0.5000
Cs 0.8352 0.1648 0.5000
Tl 0.0000 0.0000 0.0000

Formation energy (no corrections) in eV/atom: -1.307
V in Å³/cell: 399
Energy in eV per atom: -4.223
Space-group type: No. 12



CsHoTlSe3 | PBE-GGA | optimized geometry

Cell: 4.2018 9.3390 11.5132 Å, 109.61 90.00 90.00°
Atoms (fractional coordinates):
Tl 0.7500 0.8684 0.4193
Tl 0.2500 0.1316 0.5807
Se 0.2500 0.1303 0.8200
Se 0.7500 0.3372 0.5966
Se 0.2500 0.5747 0.8851
Se 0.2500 0.6628 0.4034
Se 0.7500 0.4253 0.1149
Se 0.7500 0.8697 0.1800
Cs 0.2500 0.2254 0.2640
Cs 0.7500 0.7746 0.7360
Ho 0.7500 0.3574 0.8577
Ho 0.2500 0.6426 0.1423

Formation energy (no corrections) in eV/atom: -1.191
V in Å³/cell: 426
Energy in eV per atom: -4.233
Space-group type: No. 11



Cs3Ho3TmSe8 | PBE-GGA | optimized geometry

Cell: 8.3170 8.3197 9.8261 Å, 115.08 90.00 119.99°
Atoms (fractional coordinates):
Tm 0.0000 0.0000 0.5000
Se 0.7730 0.5461 0.3172
Se 0.2710 0.0441 0.3172
Se 0.7290 0.9559 0.6828
Se 0.2270 0.9559 0.6828
Se 0.2717 0.5434 0.3152
Se 0.7730 0.0441 0.3172
Se 0.2270 0.4539 0.6828
Se 0.7283 0.4566 0.6848
Cs 0.5000 0.5000 0.0000
Cs 0.0000 0.5000 0.0000
Cs 0.0000 0.0000 0.0000
Ho 0.5000 0.0000 0.5000
Ho 0.5000 0.5000 0.5000
Ho 0.0000 0.5000 0.5000

Formation energy (no corrections) in eV/atom: -1.666
V in Å³/cell: 514
Energy in eV per atom: -4.909
Space-group type: No. 166



Cs2HoTmSe4 | PBE-GGA | optimized geometry

Cell: 4.2353 7.3350 8.7108 Å, 106.30 90.00 90.00°
Atoms (fractional coordinates):
Se 0.5000 0.2260 0.1836
Se 0.0000 0.7298 0.1843
Se 0.5000 0.7740 0.8164
Se 0.0000 0.2702 0.8157
Cs 0.5000 0.0000 0.5000
Cs 0.0000 0.5000 0.5000
Ho 0.5000 0.5000 0.0000
Tm 0.0000 0.0000 0.0000

Formation energy (no corrections) in eV/atom: -1.716
V in Å³/cell: 260
Energy in eV per atom: -4.803
Space-group type: No. 10



Cs2HoU2Se6 | PBE-GGA | optimized geometry

Cell: 7.2611 7.2611 8.9320 Å, 97.71 97.71 119.97°
Each line ends with the local moment (μB).
Atoms (fractional coordinates):
Cs 0.1661 0.8339 0.0000  0.00
Cs 0.8339 0.1661 0.0000  0.00
Se 0.3935 0.0602 0.6822  -0.05
Se 0.6065 0.9398 0.3178  -0.05
Se 0.2725 0.2725 0.3176  -0.05
Se 0.9398 0.6065 0.3178  -0.05
Se 0.0602 0.3935 0.6822  -0.05
Se 0.7275 0.7275 0.6824  -0.05
U 0.3337 0.6663 0.5000  2.44
U 0.6663 0.3337 0.5000  2.44
Ho 0.0000 0.0000 0.5000  0.03

Formation energy (no corrections) in eV/atom: -1.426
V in Å³/cell: 393
Energy in eV per atom: -5.950
Space-group type: No. 12



Cs3HoU2Se6 | PBE-GGA | optimized geometry

Cell: 7.3927 7.3927 8.7737 Å, 98.07 98.07 120.00°
Each line ends with the local moment (μB).
Atoms (fractional coordinates):
Se 0.0622 0.3931 0.1867  -0.04
Se 0.3931 0.0622 0.1867  -0.04
Se 0.6069 0.9378 0.8133  -0.04
Se 0.7313 0.7313 0.1866  -0.04
Se 0.2687 0.2687 0.8134  -0.04
Se 0.9378 0.6069 0.8133  -0.04
Cs 0.1666 0.8334 0.5000  0.01
Cs 0.8334 0.1666 0.5000  0.01
Cs 0.5000 0.5000 0.5000  0.01
U 0.6667 0.3333 0.0000  2.69
U 0.3333 0.6667 0.0000  2.69
Ho 0.0000 0.0000 0.0000  0.11

Formation energy (no corrections) in eV/atom: -1.363
V in Å³/cell: 399
Energy in eV per atom: -5.581
Space-group type: No. 12



CsHoUSe4 | PBE-GGA | optimized geometry

Cell: 9.0534 8.8941 9.0485 Å, 120.58 90.00 120.59°
Each line ends with the local moment (μB).
Atoms (fractional coordinates):
Se 0.7220 0.0435 0.2718  -0.04
Se 0.2675 0.5350 0.7146  -0.06
Se 0.3215 0.0435 0.2718  -0.04
Se 0.2675 0.5350 0.3204  -0.06
Se 0.7325 0.4650 0.2854  -0.06
Se 0.7325 0.4650 0.6796  -0.06
Se 0.2780 0.9565 0.7282  -0.04
Se 0.6785 0.9565 0.7282  -0.04
Ho 0.5000 0.0000 0.0000  0.01
Ho 0.5000 0.0000 0.5000  0.01
Cs 0.8759 0.7518 0.1259  0.00
Cs 0.1241 0.2482 0.8741  0.00
U 0.0000 0.5000 0.5000  2.15
U 0.5000 0.5000 0.5000  2.15

Formation energy (no corrections) in eV/atom: -1.358
V in Å³/cell: 506
Energy in eV per atom: -5.738
Space-group type: No. 74



Cs4Y3HoSe8 | PBE-GGA | optimized geometry

Cell: 8.5300 9.7139 8.5305 Å, 116.05 120.00 90.00°
Atoms (fractional coordinates):
Se 0.2712 0.3140 0.5424
Se 0.2702 0.3145 0.0422
Se 0.7720 0.3145 0.0422
Se 0.2280 0.6855 0.9578
Se 0.2278 0.6854 0.4555
Se 0.7288 0.6860 0.4576
Se 0.7722 0.3146 0.5445
Se 0.7298 0.6855 0.9578
Ho 0.0000 0.5000 0.0000
Cs 0.0000 0.0000 0.0000
Cs 0.5000 0.0000 0.5000
Cs 0.0000 0.0000 0.5000
Cs 0.5000 0.0000 0.0000
Y 0.0000 0.5000 0.5000
Y 0.5000 0.5000 0.0000
Y 0.5000 0.5000 0.5000

Formation energy (no corrections) in eV/atom: -1.734
V in Å³/cell: 528
Energy in eV per atom: -5.187
Space-group type: No. 166



Cs2YHoSe4 | PBE-GGA | optimized geometry

Cell: 4.2612 7.3794 8.7223 Å, 106.37 90.00 90.00°
Atoms (fractional coordinates):
Cs 0.0000 0.5000 0.5000
Cs 0.5000 0.0000 0.5000
Se 0.0000 0.7270 0.1850
Se 0.5000 0.7702 0.8145
Se 0.0000 0.2730 0.8150
Se 0.5000 0.2298 0.1855
Ho 0.5000 0.5000 0.0000
Y 0.0000 0.0000 0.0000

Formation energy (no corrections) in eV/atom: -1.730
V in Å³/cell: 263
Energy in eV per atom: -5.066
Space-group type: No. 10



Cs3Y2HoSe6 | PBE-GGA | optimized geometry

Cell: 7.3843 7.3843 8.7244 Å, 98.11 98.11 120.00°
Atoms (fractional coordinates):
Ho 0.0000 0.0000 0.0000
Se 0.7300 0.7300 0.1857
Se 0.6063 0.9381 0.8145
Se 0.0619 0.3937 0.1855
Se 0.9381 0.6063 0.8145
Se 0.2700 0.2700 0.8143
Se 0.3937 0.0619 0.1855
Cs 0.1671 0.8329 0.5000
Cs 0.8329 0.1671 0.5000
Cs 0.5000 0.5000 0.5000
Y 0.3334 0.6666 0.0000
Y 0.6666 0.3334 0.0000

Formation energy (no corrections) in eV/atom: -1.732
V in Å³/cell: 395
Energy in eV per atom: -5.147
Space-group type: No. 12



Cs4YHo3Se8 | PBE-GGA | optimized geometry

Cell: 8.5083 9.7073 8.5109 Å, 116.03 119.99 90.00°
Atoms (fractional coordinates):
Ho 0.5000 0.5000 0.5000
Ho 0.5000 0.5000 0.0000
Ho 0.0000 0.5000 0.5000
Se 0.2291 0.6852 0.4582
Se 0.2717 0.3153 0.5435
Se 0.7283 0.6847 0.4565
Se 0.7709 0.3148 0.5418
Se 0.7709 0.3148 0.0438
Se 0.2291 0.6852 0.9562
Se 0.2729 0.3148 0.0438
Se 0.7271 0.6852 0.9562
Cs 0.5000 0.0000 0.5000
Cs 0.5000 0.0000 0.0000
Cs 0.0000 0.0000 0.0000
Cs 0.0000 0.0000 0.5000
Y 0.0000 0.5000 0.0000

Formation energy (no corrections) in eV/atom: -1.726
V in Å³/cell: 525
Energy in eV per atom: -4.944
Space-group type: No. 166



Cs2Ho2ZrSe6 | PBE-GGA | optimized geometry

Cell: 7.0683 7.0683 8.9198 Å, 97.86 97.86 119.78°
Atoms (fractional coordinates):
Se 0.0638 0.3821 0.6816
Se 0.2579 0.2579 0.3196
Se 0.3821 0.0638 0.6816
Se 0.9362 0.6179 0.3184
Se 0.6179 0.9362 0.3184
Se 0.7421 0.7421 0.6804
Ho 0.3329 0.6671 0.5000
Ho 0.6671 0.3329 0.5000
Cs 0.1693 0.8307 0.0000
Cs 0.8307 0.1693 0.0000
Zr 0.0000 0.0000 0.5000

Formation energy (no corrections) in eV/atom: -1.647
V in Å³/cell: 372
Energy in eV per atom: -5.313
Space-group type: No. 12



CsHoSiTe4 | PBE-GGA | optimized geometry

Cell: 7.1354 7.6570 10.4535 Å, 90.00 109.18 90.00°
Atoms (fractional coordinates):
Te 0.0229 0.9927 0.6982
Te 0.9771 0.4927 0.3018
Te 0.4141 0.7500 0.1809
Te 0.4410 0.7500 0.5793
Te 0.9771 0.0073 0.3018
Te 0.5859 0.2500 0.8191
Te 0.0229 0.5073 0.6982
Te 0.5590 0.2500 0.4207
Si 0.7855 0.2500 0.6613
Si 0.2145 0.7500 0.3387
Ho 0.7722 0.7500 0.4513
Ho 0.2278 0.2500 0.5487
Cs 0.7644 0.7500 0.9448
Cs 0.2356 0.2500 0.0552

Formation energy (no corrections) in eV/atom: -0.819
V in Å³/cell: 539
Energy in eV per atom: -4.165
Space-group type: No. 11